1.
# HfRuSe2Br, optimized geometry, DFT PBE-GGA
# - Formation energy (no corrections): 275 meV/atom
# - V: 139 Å³/cell
data_HfRuSe2Br
_cell_length_a 5.1710
_cell_length_b 5.1710
_cell_length_c 5.2054
_cell_angle_alpha 90.00
_cell_angle_beta 90.00
_cell_angle_gamma 90.00
_space_group_name_H-M_alt 'P 4/m m m'
_space_group_IT_number 123
_space_group_name_Hall '-P 4 2'
loop_
_atom_site_label
_atom_site_fract_x
_atom_site_fract_y
_atom_site_fract_z
Hf1 0.0000 0.0000 0.0000
Ru1 0.5000 0.5000 0.5000
Se1 0.0000 0.5000 0.0000
Br1 0.0000 0.0000 0.5000

2.
# Hf2ZrRuBr, optimized geometry, DFT PBE-GGA
# - Formation energy (no corrections): 309 meV/atom
# - V: 129 Å³/cell
data_Hf2ZrRuBr
_cell_length_a 5.0163
_cell_length_b 5.0163
_cell_length_c 5.1134
_cell_angle_alpha 90.00
_cell_angle_beta 90.00
_cell_angle_gamma 90.00
_space_group_name_H-M_alt 'P 4/m m m'
_space_group_IT_number 123
_space_group_name_Hall '-P 4 2'
loop_
_atom_site_label
_atom_site_fract_x
_atom_site_fract_y
_atom_site_fract_z
Hf1 0.0000 0.5000 0.0000
Zr1 0.0000 0.0000 0.5000
Ru1 0.0000 0.0000 0.0000
Br1 0.5000 0.5000 0.5000

3.
# HfS8Br2, optimized geometry, DFT PBE-GGA
# - Formation energy (no corrections): -211 meV/atom
# - V: 327 Å³/cell
data_HfS8Br2
_cell_length_a 6.0124
_cell_length_b 6.4686
_cell_length_c 9.6750
_cell_angle_alpha 73.14
_cell_angle_beta 78.81
_cell_angle_gamma 65.88
_space_group_name_H-M_alt 'P -1'
_space_group_IT_number 2
loop_
_space_group_symop_operation_xyz
'x,y,z'
'-x,-y,-z'
loop_
_atom_site_label
_atom_site_fract_x
_atom_site_fract_y
_atom_site_fract_z
Hf1 0.0000 0.0000 0.0000
S1 0.0374 0.0862 0.2557
S2 0.0842 0.5419 0.0607
S3 0.0919 0.7563 0.2665
S4 0.4515 0.9578 0.9209
Br1 0.3571 0.7203 0.6563

4.
# HfS2Br, optimized geometry, DFT PBE-GGA
# - Formation energy (no corrections): -257 meV/atom
# - V: 294 Å³/cell
data_HfS2Br
_cell_length_a 6.6492
_cell_length_b 6.6492
_cell_length_c 6.6492
_cell_angle_alpha 90.00
_cell_angle_beta 90.00
_cell_angle_gamma 90.00
_space_group_name_H-M_alt 'F m -3 m'
_space_group_IT_number 225
_space_group_name_Hall '-F 4 2 3'
loop_
_atom_site_label
_atom_site_fract_x
_atom_site_fract_y
_atom_site_fract_z
Hf1 0.0000 0.0000 0.0000
S1 0.2500 0.2500 0.2500
Br1 0.0000 0.0000 0.5000

5.
# HfS2Br, optimized geometry, DFT PBE-GGA
# - Formation energy (no corrections): 446 meV/atom
# - V: 283 Å³/cell
data_HfS2Br
_cell_length_a 3.4945
_cell_length_b 3.4945
_cell_length_c 26.7971
_cell_angle_alpha 90.00
_cell_angle_beta 90.00
_cell_angle_gamma 120.00
_space_group_name_H-M_alt 'R -3 m'
_space_group_IT_number 166
_space_group_name_Hall '-R 3 2"'
loop_
_atom_site_label
_atom_site_fract_x
_atom_site_fract_y
_atom_site_fract_z
Hf1 0.0000 0.0000 0.0000
S1 0.0000 0.0000 0.0873
Br1 0.0000 0.0000 0.5000

6.
# HfSBr2, optimized geometry, DFT PBE-GGA
# - Formation energy (no corrections): -1273 meV/atom
# - V: 241 Å³/cell
data_HfSBr2
_cell_length_a 9.2062
_cell_length_b 3.4975
_cell_length_c 7.9140
_cell_angle_alpha 90.00
_cell_angle_beta 109.03
_cell_angle_gamma 90.00
_space_group_name_H-M_alt 'C 1 m 1'
_space_group_IT_number 8
loop_
_space_group_symop_operation_xyz
'x,y,z'
'x,-y,z'
'x+1/2,y+1/2,z'
'x+1/2,-y+1/2,z'
loop_
_atom_site_label
_atom_site_fract_x
_atom_site_fract_y
_atom_site_fract_z
Hf1 0.0000 0.0000 0.0000
S1 0.1959 0.5000 0.0000
Br1 0.3499 0.0000 0.7343
Br2 0.4988 0.0000 0.2657

7.
# HfSBr2, optimized geometry, DFT PBE-GGA
# - Formation energy (no corrections): -242 meV/atom
# - V: 311 Å³/cell
data_HfSBr2
_cell_length_a 3.3409
_cell_length_b 3.3409
_cell_length_c 32.1287
_cell_angle_alpha 90.00
_cell_angle_beta 90.00
_cell_angle_gamma 120.00
_space_group_name_H-M_alt 'R -3 m'
_space_group_IT_number 166
_space_group_name_Hall '-R 3 2"'
loop_
_atom_site_label
_atom_site_fract_x
_atom_site_fract_y
_atom_site_fract_z
Hf1 0.0000 0.0000 0.0000
S1 0.0000 0.0000 0.5000
Br1 0.0000 0.0000 0.3931

8.
# Hf3SBr, optimized geometry, DFT PBE-GGA
# - Formation energy (no corrections): 118 meV/atom
# - V: 112 Å³/cell
data_Hf3SBr
_cell_length_a 4.8263
_cell_length_b 4.8263
_cell_length_c 4.8263
_cell_angle_alpha 90.00
_cell_angle_beta 90.00
_cell_angle_gamma 90.00
_space_group_name_H-M_alt 'P m -3 m'
_space_group_IT_number 221
_space_group_name_Hall '-P 4 2 3'
loop_
_atom_site_label
_atom_site_fract_x
_atom_site_fract_y
_atom_site_fract_z
Hf1 0.0000 0.0000 0.5000
S1 0.0000 0.0000 0.0000
Br1 0.5000 0.5000 0.5000

9.
# HfS2Br, optimized geometry, DFT PBE-GGA
# - Formation energy (no corrections): -1147 meV/atom
# - V: 210 Å³/cell
data_HfS2Br
_cell_length_a 3.5375
_cell_length_b 8.1648
_cell_length_c 7.4509
_cell_angle_alpha 90.00
_cell_angle_beta 102.65
_cell_angle_gamma 90.00
_space_group_name_H-M_alt 'P 1 21/m 1'
_space_group_IT_number 11
loop_
_space_group_symop_operation_xyz
'x,y,z'
'-x,-y,-z'
'-x,y+1/2,-z'
'x,-y+1/2,z'
loop_
_atom_site_label
_atom_site_fract_x
_atom_site_fract_y
_atom_site_fract_z
Hf1 0.2307 0.2500 0.0528
S1 0.3562 0.5840 0.1224
Br1 0.1150 0.7500 0.6613

10.
# HfS2Br, optimized geometry, DFT PBE-GGA
# - Formation energy (no corrections): -967 meV/atom
# - V: 282 Å³/cell
data_HfS2Br
_cell_length_a 3.6781
_cell_length_b 3.6781
_cell_length_c 24.0701
_cell_angle_alpha 90.00
_cell_angle_beta 90.00
_cell_angle_gamma 120.00
_space_group_name_H-M_alt 'R -3 m'
_space_group_IT_number 166
_space_group_name_Hall '-R 3 2"'
loop_
_atom_site_label
_atom_site_fract_x
_atom_site_fract_y
_atom_site_fract_z
Hf1 0.0000 0.0000 0.0000
S1 0.0000 0.0000 0.3930
Br1 0.0000 0.0000 0.5000

11.
# HfSBr2, optimized geometry, DFT PBE-GGA
# - Formation energy (no corrections): -137 meV/atom
# - V: 320 Å³/cell
data_HfSBr2
_cell_length_a 6.8380
_cell_length_b 6.8380
_cell_length_c 6.8380
_cell_angle_alpha 90.00
_cell_angle_beta 90.00
_cell_angle_gamma 90.00
_space_group_name_H-M_alt 'F m -3 m'
_space_group_IT_number 225
_space_group_name_Hall '-F 4 2 3'
loop_
_atom_site_label
_atom_site_fract_x
_atom_site_fract_y
_atom_site_fract_z
Hf1 0.0000 0.0000 0.0000
S1 0.0000 0.0000 0.5000
Br1 0.2500 0.2500 0.2500

12.
# HfS3Br, optimized geometry, DFT PBE-GGA
# - Formation energy (no corrections): -279 meV/atom
# - V: 122 Å³/cell
data_HfS3Br
_cell_length_a 4.9561
_cell_length_b 4.9561
_cell_length_c 4.9561
_cell_angle_alpha 90.00
_cell_angle_beta 90.00
_cell_angle_gamma 90.00
_space_group_name_H-M_alt 'P m -3 m'
_space_group_IT_number 221
_space_group_name_Hall '-P 4 2 3'
loop_
_atom_site_label
_atom_site_fract_x
_atom_site_fract_y
_atom_site_fract_z
Hf1 0.0000 0.0000 0.0000
S1 0.0000 0.0000 0.5000
Br1 0.5000 0.5000 0.5000

13.
# HfS3Br, optimized geometry, DFT PBE-GGA
# - Formation energy (no corrections): 859 meV/atom
# - V: 107 Å³/cell
data_HfS3Br
_cell_length_a 4.7473
_cell_length_b 4.7473
_cell_length_c 4.7473
_cell_angle_alpha 90.00
_cell_angle_beta 90.00
_cell_angle_gamma 90.00
_space_group_name_H-M_alt 'P m -3 m'
_space_group_IT_number 221
_space_group_name_Hall '-P 4 2 3'
loop_
_atom_site_label
_atom_site_fract_x
_atom_site_fract_y
_atom_site_fract_z
Hf1 0.0000 0.0000 0.0000
S1 0.0000 0.5000 0.5000
Br1 0.5000 0.5000 0.5000

14.
# HfSBr2, optimized geometry, DFT PBE-GGA
# - Formation energy (no corrections): -1048 meV/atom
# - V: 474 Å³/cell
data_HfSBr2
_cell_length_a 9.9115
_cell_length_b 9.9115
_cell_length_c 4.8267
_cell_angle_alpha 90.00
_cell_angle_beta 90.00
_cell_angle_gamma 90.00
_space_group_name_H-M_alt 'I -4 2 d'
_space_group_IT_number 122
_space_group_name_Hall 'I -4 2bw'
loop_
_atom_site_label
_atom_site_fract_x
_atom_site_fract_y
_atom_site_fract_z
Hf1 0.0000 0.0000 0.0000
S1 0.0000 0.0000 0.5000
Br1 0.1025 0.7500 0.1250

15.
# HfS2Br, optimized geometry, DFT PBE-GGA
# - Formation energy (no corrections): -647 meV/atom
# - V: 517 Å³/cell
data_HfS2Br
_cell_length_a 7.0262
_cell_length_b 7.0262
_cell_length_c 10.4632
_cell_angle_alpha 90.00
_cell_angle_beta 90.00
_cell_angle_gamma 90.00
_space_group_name_H-M_alt 'I -4 2 d'
_space_group_IT_number 122
_space_group_name_Hall 'I -4 2bw'
loop_
_atom_site_label
_atom_site_fract_x
_atom_site_fract_y
_atom_site_fract_z
Hf1 0.0000 0.0000 0.0000
S1 0.1379 0.2500 0.1250
Br1 0.0000 0.0000 0.5000

16.
# HfSb2SBr, optimized geometry, DFT PBE-GGA
# - Formation energy (no corrections): 1162 meV/atom
# - V: 151 Å³/cell
data_HfSb2SBr
_cell_length_a 5.5761
_cell_length_b 5.5761
_cell_length_c 4.8624
_cell_angle_alpha 90.00
_cell_angle_beta 90.00
_cell_angle_gamma 90.00
_space_group_name_H-M_alt 'P 4/m m m'
_space_group_IT_number 123
_space_group_name_Hall '-P 4 2'
loop_
_atom_site_label
_atom_site_fract_x
_atom_site_fract_y
_atom_site_fract_z
Hf1 0.0000 0.0000 0.0000
Sb1 0.0000 0.5000 0.5000
S1 0.5000 0.5000 0.0000
Br1 0.0000 0.0000 0.5000

17.
# HfSeSBr2, optimized geometry, DFT PBE-GGA
# - Formation energy (no corrections): 646 meV/atom
# - V: 126 Å³/cell
data_HfSeSBr2
_cell_length_a 5.0739
_cell_length_b 5.0739
_cell_length_c 4.8768
_cell_angle_alpha 90.00
_cell_angle_beta 90.00
_cell_angle_gamma 90.00
_space_group_name_H-M_alt 'P 4/m m m'
_space_group_IT_number 123
_space_group_name_Hall '-P 4 2'
loop_
_atom_site_label
_atom_site_fract_x
_atom_site_fract_y
_atom_site_fract_z
Hf1 0.0000 0.0000 0.0000
Se1 0.5000 0.5000 0.0000
S1 0.5000 0.5000 0.5000
Br1 0.0000 0.5000 0.5000

18.
# HfSe2SBr, optimized geometry, DFT PBE-GGA
# - Formation energy (no corrections): -116 meV/atom
# - V: 143 Å³/cell
data_HfSe2SBr
_cell_length_a 5.1856
_cell_length_b 5.1856
_cell_length_c 5.3051
_cell_angle_alpha 90.00
_cell_angle_beta 90.00
_cell_angle_gamma 90.00
_space_group_name_H-M_alt 'P 4/m m m'
_space_group_IT_number 123
_space_group_name_Hall '-P 4 2'
loop_
_atom_site_label
_atom_site_fract_x
_atom_site_fract_y
_atom_site_fract_z
Hf1 0.0000 0.0000 0.0000
Se1 0.0000 0.5000 0.0000
S1 0.5000 0.5000 0.5000
Br1 0.0000 0.0000 0.5000

19.
# HfSeSBr2, optimized geometry, DFT PBE-GGA
# - Formation energy (no corrections): -262 meV/atom
# - V: 145 Å³/cell
data_HfSeSBr2
_cell_length_a 5.3148
_cell_length_b 5.3148
_cell_length_c 5.1504
_cell_angle_alpha 90.00
_cell_angle_beta 90.00
_cell_angle_gamma 90.00
_space_group_name_H-M_alt 'P 4/m m m'
_space_group_IT_number 123
_space_group_name_Hall '-P 4 2'
loop_
_atom_site_label
_atom_site_fract_x
_atom_site_fract_y
_atom_site_fract_z
Hf1 0.0000 0.0000 0.0000
Se1 0.0000 0.0000 0.5000
S1 0.5000 0.5000 0.5000
Br1 0.0000 0.5000 0.0000

20.
# HfSe2SBr, optimized geometry, DFT PBE-GGA
# - Formation energy (no corrections): 504 meV/atom
# - V: 116 Å³/cell
data_HfSe2SBr
_cell_length_a 4.8220
_cell_length_b 4.8220
_cell_length_c 4.9681
_cell_angle_alpha 90.00
_cell_angle_beta 90.00
_cell_angle_gamma 90.00
_space_group_name_H-M_alt 'P 4/m m m'
_space_group_IT_number 123
_space_group_name_Hall '-P 4 2'
loop_
_atom_site_label
_atom_site_fract_x
_atom_site_fract_y
_atom_site_fract_z
Hf1 0.0000 0.0000 0.0000
Se1 0.0000 0.5000 0.5000
S1 0.5000 0.5000 0.5000
Br1 0.5000 0.5000 0.0000

21.
# HfTeSBr2, optimized geometry, DFT PBE-GGA
# - Formation energy (no corrections): 803 meV/atom
# - V: 162 Å³/cell
data_HfTeSBr2
_cell_length_a 5.6018
_cell_length_b 5.6018
_cell_length_c 5.1649
_cell_angle_alpha 90.00
_cell_angle_beta 90.00
_cell_angle_gamma 90.00
_space_group_name_H-M_alt 'P 4/m m m'
_space_group_IT_number 123
_space_group_name_Hall '-P 4 2'
loop_
_atom_site_label
_atom_site_fract_x
_atom_site_fract_y
_atom_site_fract_z
Hf1 0.0000 0.0000 0.0000
Te1 0.5000 0.5000 0.5000
S1 0.5000 0.5000 0.0000
Br1 0.0000 0.5000 0.5000

22.
# Hf2SbBr2, optimized geometry, DFT PBE-GGA
# - Formation energy (no corrections): -191 meV/atom
# - V: 242 Å³/cell
data_Hf2SbBr2
_cell_length_a 4.3038
_cell_length_b 4.3038
_cell_length_c 13.0634
_cell_angle_alpha 90.00
_cell_angle_beta 90.00
_cell_angle_gamma 90.00
_space_group_name_H-M_alt 'I 4/m m m'
_space_group_IT_number 139
_space_group_name_Hall '-I 4 2'
loop_
_atom_site_label
_atom_site_fract_x
_atom_site_fract_y
_atom_site_fract_z
Hf1 0.0000 0.0000 0.1099
Sb1 0.0000 0.0000 0.5000
Br1 0.0000 0.5000 0.2500

23.
# Hf2SbBr, optimized geometry, DFT PBE-GGA
# - Formation energy (no corrections): 229 meV/atom
# - V: 425 Å³/cell
data_Hf2SbBr
_cell_length_a 4.8797
_cell_length_b 4.8797
_cell_length_c 17.8288
_cell_angle_alpha 90.00
_cell_angle_beta 90.00
_cell_angle_gamma 90.00
_space_group_name_H-M_alt 'I -4 2 d'
_space_group_IT_number 122
_space_group_name_Hall 'I -4 2bw'
loop_
_atom_site_label
_atom_site_fract_x
_atom_site_fract_y
_atom_site_fract_z
Hf1 0.2326 0.2500 0.1250
Sb1 0.0000 0.0000 0.5000
Br1 0.0000 0.0000 0.0000

24.
# HfSbBr3, optimized geometry, DFT PBE-GGA
# - Formation energy (no corrections): 623 meV/atom
# - V: 184 Å³/cell
data_HfSbBr3
_cell_length_a 5.6923
_cell_length_b 5.6923
_cell_length_c 5.6923
_cell_angle_alpha 90.00
_cell_angle_beta 90.00
_cell_angle_gamma 90.00
_space_group_name_H-M_alt 'P m -3 m'
_space_group_IT_number 221
_space_group_name_Hall '-P 4 2 3'
loop_
_atom_site_label
_atom_site_fract_x
_atom_site_fract_y
_atom_site_fract_z
Hf1 0.0000 0.0000 0.0000
Sb1 0.5000 0.5000 0.5000
Br1 0.0000 0.5000 0.5000

25.
# HfSbBr3, optimized geometry, DFT PBE-GGA
# - Formation energy (no corrections): -229 meV/atom
# - V: 154 Å³/cell
data_HfSbBr3
_cell_length_a 5.3570
_cell_length_b 5.3570
_cell_length_c 5.3570
_cell_angle_alpha 90.00
_cell_angle_beta 90.00
_cell_angle_gamma 90.00
_space_group_name_H-M_alt 'P m -3 m'
_space_group_IT_number 221
_space_group_name_Hall '-P 4 2 3'
loop_
_atom_site_label
_atom_site_fract_x
_atom_site_fract_y
_atom_site_fract_z
Hf1 0.0000 0.0000 0.0000
Sb1 0.5000 0.5000 0.5000
Br1 0.0000 0.0000 0.5000

26.
# HfSb3Br, optimized geometry, DFT PBE-GGA
# - Formation energy (no corrections): 1058 meV/atom
# - V: 152 Å³/cell
data_HfSb3Br
_cell_length_a 5.3336
_cell_length_b 5.3336
_cell_length_c 5.3336
_cell_angle_alpha 90.00
_cell_angle_beta 90.00
_cell_angle_gamma 90.00
_space_group_name_H-M_alt 'P m -3 m'
_space_group_IT_number 221
_space_group_name_Hall '-P 4 2 3'
loop_
_atom_site_label
_atom_site_fract_x
_atom_site_fract_y
_atom_site_fract_z
Hf1 0.0000 0.0000 0.0000
Sb1 0.0000 0.5000 0.5000
Br1 0.5000 0.5000 0.5000

27.
# Hf2SbBr2, optimized geometry, DFT PBE-GGA
# - Formation energy (no corrections): -123 meV/atom
# - V: 219 Å³/cell
data_Hf2SbBr2
_cell_length_a 8.2504
_cell_length_b 8.2504
_cell_length_c 3.2243
_cell_angle_alpha 90.00
_cell_angle_beta 90.00
_cell_angle_gamma 90.00
_space_group_name_H-M_alt 'P 4/m b m'
_space_group_IT_number 127
_space_group_name_Hall '-P 4 2ab'
loop_
_atom_site_label
_atom_site_fract_x
_atom_site_fract_y
_atom_site_fract_z
Hf1 0.1679 0.3321 0.0000
Sb1 0.0000 0.0000 0.0000
Br1 0.1340 0.6340 0.5000

28.
# Hf3SbBr, optimized geometry, DFT PBE-GGA
# - Formation energy (no corrections): 610 meV/atom
# - V: 120 Å³/cell
data_Hf3SbBr
_cell_length_a 4.9273
_cell_length_b 4.9273
_cell_length_c 4.9273
_cell_angle_alpha 90.00
_cell_angle_beta 90.00
_cell_angle_gamma 90.00
_space_group_name_H-M_alt 'P m -3 m'
_space_group_IT_number 221
_space_group_name_Hall '-P 4 2 3'
loop_
_atom_site_label
_atom_site_fract_x
_atom_site_fract_y
_atom_site_fract_z
Hf1 0.0000 0.0000 0.5000
Sb1 0.5000 0.5000 0.5000
Br1 0.0000 0.0000 0.0000